A plane-wave DFT calculation with PBE was carried out for a relaxed structure of Cs4K2Bi.

```
Cs4K2Bi
1.0
-4.969 -4.542 -3.573
4.505 -0.094 -6.147
5.379 -11.805 -0.603
Cs K Bi
4 2 1
Direct
0.841 0.841 0.317
0.159 0.159 0.683
0.000 0.500 0.000
0.500 0.000 0.000
0.642 0.642 0.715
0.358 0.358 0.285
0.000 0.000 0.000
```

The value obtained for the total magnetization is 0.005 μB/atom. As for the calculated volume: 686 Å³ per cell. The value obtained for the uncorrected energy is -1.408 eV/atom. The symmetry is I4/mmm (139).

---

A plane-wave DFT calculation with PBE was carried out for a relaxed structure of CsKBi.

```
CsKBi
1.0
-3.331 -2.321 -2.437
2.632 -3.934 0.149
-2.590 1.376 6.831
Cs K Bi
1 1 1
Direct
0.602 0.602 0.205
0.316 0.316 0.632
0.931 0.931 0.863
```

The value obtained for the total magnetization is 0.018 μB/atom. As for the calculated volume: 149 Å³ per cell. The value obtained for the uncorrected energy is -2.174 eV/atom. The symmetry is I4mm (107).

---

Copy entry 1 word for word.
A plane-wave DFT calculation with PBE was carried out for a relaxed structure of Cs4K2Bi.

```
Cs4K2Bi
1.0
-4.969 -4.542 -3.573
4.505 -0.094 -6.147
5.379 -11.805 -0.603
Cs K Bi
4 2 1
Direct
0.841 0.841 0.317
0.159 0.159 0.683
0.000 0.500 0.000
0.500 0.000 0.000
0.642 0.642 0.715
0.358 0.358 0.285
0.000 0.000 0.000
```

The value obtained for the total magnetization is 0.005 μB/atom. As for the calculated volume: 686 Å³ per cell. The value obtained for the uncorrected energy is -1.408 eV/atom. The symmetry is I4/mmm (139).

---

What is the uncorrected energy in the second record?
-2.174 eV/atom

---

The lowest calculated volume belongs to which entry?
CsKBi